BaNaZnPt: optimized geometry, PBE.

a b c (Å): 4.481 4.481 21.606
angles (deg): 90.00 90.00 120.00
Element x y z (fractional)
Ba 0.000 0.000 0.000
Ba 0.333 0.667 0.667
Ba 0.667 0.333 0.333
Na 0.000 0.000 0.824
Na 0.333 0.667 0.491
Na 0.667 0.333 0.158
Zn 0.000 0.000 0.230
Zn 0.333 0.667 0.897
Zn 0.667 0.333 0.564
Pt 0.000 0.000 0.575
Pt 0.333 0.667 0.242
Pt 0.667 0.333 0.909

Values from the calculation:
E: -3.040 eV per atom
Fermi-level density of states: 0.511 states/eV/atom

---

AcPaCd: optimized geometry, PBE.

a b c (Å): 3.733 3.957 12.742
angles (deg): 90.00 91.86 90.00
Element x y z (fractional)
Ac 0.238 0.250 0.381
Ac 0.762 0.750 0.619
Pa 0.181 0.250 0.053
Pa 0.819 0.750 0.947
Cd 0.296 0.250 0.795
Cd 0.704 0.750 0.205

Values from the calculation:
E: -4.803 eV per atom
Fermi-level density of states: 1.759 states/eV/atom

---

TaCrSnOs: optimized geometry, PBE.

a b c (Å): 4.091 3.161 10.415
angles (deg): 90.00 90.00 90.00
Element x y z (fractional)
Ta 0.000 0.000 0.000
Ta 0.000 0.500 0.500
Cr 0.500 0.000 0.587
Cr 0.500 0.500 0.087
Sn 0.500 0.000 0.329
Sn 0.500 0.500 0.829
Os 0.000 0.000 0.715
Os 0.000 0.500 0.215

Values from the calculation:
E: -8.898 eV per atom
Fermi-level density of states: 0.566 states/eV/atom

---

Re2NiBr: optimized geometry, PBE.

a b c (Å): 2.874 2.874 25.291
angles (deg): 90.00 90.00 120.00
Element x y z (fractional)
Re 0.000 0.000 0.245
Re 0.000 0.000 0.755
Re 0.333 0.667 0.421
Re 0.333 0.667 0.912
Re 0.667 0.333 0.088
Re 0.667 0.333 0.579
Ni 0.000 0.000 0.500
Ni 0.333 0.667 0.167
Ni 0.667 0.333 0.833
Br 0.000 0.000 0.000
Br 0.333 0.667 0.667
Br 0.667 0.333 0.333

Values from the calculation:
Relative energy among the computed polymorphs: 0.418 eV per atom
Fermi-level density of states: 1.203 states/eV/atom

---

Zn3IrPd: optimized geometry, PBE.

a b c (Å): 4.725 4.725 4.725
angles (deg): 90.00 90.00 90.00
Element x y z (fractional)
Zn 0.000 0.000 0.500
Zn 0.000 0.500 0.000
Zn 0.500 0.000 0.000
Ir 0.000 0.000 0.000
Pd 0.500 0.500 0.500

Values from the calculation:
Relative energy among the computed polymorphs: 0.000 eV per atom
Fermi-level density of states: 0.293 states/eV/atom

---

CsLaSeI2: optimized geometry, PBE.

a b c (Å): 6.475 6.475 5.693
angles (deg): 90.00 90.00 90.00
Element x y z (fractional)
Cs 0.000 0.000 0.000
La 0.500 0.500 0.500
Se 0.500 0.500 0.000
I 0.000 0.500 0.500
I 0.500 0.000 0.500

Values from the calculation:
E: -4.040 eV per atom
Fermi-level density of states: 0.000 states/eV/atom

---

HfAl2Ir: optimized geometry, PBE.

a b c (Å): 15.334 6.818 5.234
angles (deg): 90.00 90.00 90.00
Element x y z (fractional)
Hf 0.105 0.250 0.226
Hf 0.143 0.750 0.457
Hf 0.357 0.250 0.957
Hf 0.395 0.750 0.726
Hf 0.605 0.250 0.274
Hf 0.643 0.750 0.043
Hf 0.857 0.250 0.543
Hf 0.895 0.750 0.774
Al 0.034 0.052 0.732
Al 0.034 0.448 0.732
Al 0.213 0.553 0.955
Al 0.213 0.947 0.955
Al 0.287 0.053 0.455
Al 0.287 0.447 0.455
Al 0.466 0.552 0.232
Al 0.466 0.948 0.232
Al 0.534 0.052 0.768
Al 0.534 0.448 0.768
Al 0.713 0.553 0.545
Al 0.713 0.947 0.545
Al 0.787 0.053 0.045
Al 0.787 0.447 0.045
Al 0.966 0.552 0.268
Al 0.966 0.948 0.268
Ir 0.071 0.750 0.986
Ir 0.177 0.250 0.710
Ir 0.323 0.750 0.210
Ir 0.429 0.250 0.486
Ir 0.571 0.750 0.514
Ir 0.677 0.250 0.790
Ir 0.823 0.750 0.290
Ir 0.929 0.250 0.014

Values from the calculation:
E: -7.316 eV per atom
Fermi-level density of states: 0.534 states/eV/atom

---

MgZn3W: optimized geometry, PBE.

a b c (Å): 4.897 4.897 4.897
angles (deg): 90.00 90.00 90.00
Element x y z (fractional)
Mg 0.000 0.000 0.000
Zn 0.000 0.500 0.500
Zn 0.500 0.000 0.500
Zn 0.500 0.500 0.000
W 0.500 0.500 0.500

Values from the calculation:
Relative energy among the computed polymorphs: 0.000 eV per atom
Fermi-level density of states: 0.554 states/eV/atom

---

B3CF: optimized geometry, PBE.

a b c (Å): 3.760 3.760 3.760
angles (deg): 90.00 90.00 90.00
Element x y z (fractional)
B 0.000 0.000 0.500
B 0.000 0.500 0.000
B 0.500 0.000 0.000
C 0.500 0.500 0.500
F 0.000 0.000 0.000

Values from the calculation:
Relative energy among the computed polymorphs: 1.413 eV per atom
Fermi-level density of states: 0.471 states/eV/atom

---

Tb4SmDy2Sc: optimized geometry, PBE.

a b c (Å): 6.100 3.537 11.694
angles (deg): 90.00 100.08 90.00
Element x y z (fractional)
Tb 0.247 0.000 0.243
Tb 0.250 0.500 0.754
Tb 0.750 0.500 0.246
Tb 0.753 0.000 0.757
Sm 0.000 0.000 0.500
Dy 0.500 0.000 0.000
Dy 0.500 0.500 0.500
Sc 0.000 0.500 0.000

Values from the calculation:
E: -4.814 eV per atom
Fermi-level density of states: 1.451 states/eV/atom

---

Tb2GaFe: optimized geometry, PBE.

a b c (Å): 3.300 3.300 30.243
angles (deg): 90.00 90.00 120.00
Element x y z (fractional)
Tb 0.000 0.000 0.089
Tb 0.000 0.000 0.911
Tb 0.333 0.667 0.578
Tb 0.333 0.667 0.755
Tb 0.667 0.333 0.245
Tb 0.667 0.333 0.422
Ga 0.000 0.000 0.500
Ga 0.333 0.667 0.167
Ga 0.667 0.333 0.833
Fe 0.000 0.000 0.000
Fe 0.333 0.667 0.667
Fe 0.667 0.333 0.333

Values from the calculation:
Relative energy among the computed polymorphs: 0.591 eV per atom
Fermi-level density of states: 0.926 states/eV/atom

---

Nd2Zn2Si3: optimized geometry, PBE.

a b c (Å): 9.618 9.618 6.917
angles (deg): 90.00 90.00 154.45
Element x y z (fractional)
Nd 0.049 0.951 0.750
Nd 0.159 0.841 0.250
Nd 0.841 0.159 0.750
Nd 0.951 0.049 0.250
Zn 0.323 0.677 0.067
Zn 0.323 0.677 0.433
Zn 0.677 0.323 0.567
Zn 0.677 0.323 0.933
Si 0.216 0.784 0.750
Si 0.443 0.557 0.579
Si 0.443 0.557 0.921
Si 0.557 0.443 0.079
Si 0.557 0.443 0.421
Si 0.784 0.216 0.250

Values from the calculation:
E: -4.563 eV per atom
Fermi-level density of states: 0.168 states/eV/atom

---

Repeat the third record exactly.
TaCrSnOs: optimized geometry, PBE.

a b c (Å): 4.091 3.161 10.415
angles (deg): 90.00 90.00 90.00
Element x y z (fractional)
Ta 0.000 0.000 0.000
Ta 0.000 0.500 0.500
Cr 0.500 0.000 0.587
Cr 0.500 0.500 0.087
Sn 0.500 0.000 0.329
Sn 0.500 0.500 0.829
Os 0.000 0.000 0.715
Os 0.000 0.500 0.215

Values from the calculation:
E: -8.898 eV per atom
Fermi-level density of states: 0.566 states/eV/atom